# 1
{"formula": "TaV2GaGe", "functional": "PBE-GGA", "state": "relaxed", "lattice_angstrom": [[-2.5542, 1.1196, -3.5447], [-3.6698, -0.5975, 2.4556], [0.1417, 4.3271, 1.2646]], "species": ["Ge", "Ta", "V", "Ga", "V"], "fractional_positions": [[0.0000, 0.5000, 0.0000], [0.5000, 0.5000, 0.5000], [0.5000, 0.0000, 0.0000], [0.0000, 0.0000, 0.0000], [0.0000, 0.0000, 0.5000]], "ef_ev_per_atom": 1.242, "energy_ev_per_cell": -31.5, "mass_density_g_cm3": 7.789}

# 2
{"formula": "ZrTaGa2Ge", "functional": "PBE-GGA", "state": "relaxed", "lattice_angstrom": [[-4.1889, 2.9046, -0.7558], [-2.3036, -3.8960, -2.2057], [-1.8573, -1.4893, 4.5703]], "species": ["Ga", "Ge", "Zr", "Ta", "Ga"], "fractional_positions": [[0.0000, 0.0000, 0.5000], [0.5000, 0.5000, 0.5000], [0.0000, 0.0000, 0.0000], [0.0000, 0.5000, 0.0000], [0.5000, 0.0000, 0.0000]], "ef_ev_per_atom": 1.214, "energy_ev_per_cell": -25.0, "mass_density_g_cm3": 6.014}

# 3
{"formula": "TbGaGe", "functional": "PBE-GGA", "state": "relaxed", "lattice_angstrom": [[4.3032, 0.0000, 0.0000], [0.0000, 4.1508, 0.0000], [0.0000, -2.0754, 3.5947]], "species": ["Ge", "Tb", "Ga"], "fractional_positions": [[0.2538, 0.3333, 0.6667], [0.6704, 0.6667, 0.3333], [0.0758, 0.0000, 0.0000]], "ef_ev_per_atom": -0.651, "energy_ev_per_cell": -14.2, "mass_density_g_cm3": 7.792}

# 4
{"formula": "Tb7GaGe5", "functional": "PBE-GGA", "state": "relaxed", "lattice_angstrom": [[5.9349, 0.0000, 0.0000], [2.9675, 7.3908, -0.3972], [2.9675, -0.4210, 7.3894]], "species": ["Tb", "Ge", "Ga", "Ge", "Tb", "Tb", "Tb", "Tb", "Ge", "Tb", "Tb", "Ge", "Ge"], "fractional_positions": [[0.5404, 0.1235, 0.7958], [0.0335, 0.0025, 0.4773], [0.9450, 0.0550, 0.0550], [0.4868, 0.0025, 0.4773], [0.2503, 0.7497, 0.7497], [0.9929, 0.3335, 0.6807], [0.9929, 0.6807, 0.3335], [0.5404, 0.7958, 0.1235], [0.0335, 0.4773, 0.0025], [0.6399, 0.3601, 0.3601], [0.2840, 0.2160, 0.2160], [0.4868, 0.4773, 0.0025], [0.7738, 0.7262, 0.7262]], "ef_ev_per_atom": -0.511, "energy_ev_per_cell": -65.2, "mass_density_g_cm3": 7.942}

# 5
{"formula": "TbGa4Ge", "functional": "PBE-GGA", "state": "relaxed", "lattice_angstrom": [[-5.4429, -0.5305, -0.4762], [-2.2462, -0.9386, -4.9201], [-2.1915, -4.9054, -1.1260]], "species": ["Ga", "Ge", "Ga", "Ga", "Ga", "Tb"], "fractional_positions": [[0.6255, 0.6255, 0.1235], [0.0000, 0.0000, 0.0000], [0.6255, 0.6255, 0.6255], [0.6255, 0.1235, 0.6255], [0.1235, 0.6255, 0.6255], [0.2500, 0.2500, 0.2500]], "ef_ev_per_atom": -0.199, "energy_ev_per_cell": -22.6, "polymorph_energy_ev_per_atom": 0.000, "mass_density_g_cm3": 7.247}

# 6
{"formula": "Tb2Ga3Ge", "functional": "PBE-GGA", "state": "relaxed", "lattice_angstrom": [[4.0975, 0.0000, 0.0000], [0.0000, 4.2098, 0.0000], [0.0000, 0.0000, 7.2797]], "species": ["Tb", "Ga", "Ga", "Ge", "Ga", "Tb"], "fractional_positions": [[0.0000, 0.0000, 0.4969], [0.5000, 0.0000, 0.1619], [0.5000, 0.0000, 0.8301], [0.5000, 0.5000, 0.3362], [0.5000, 0.5000, 0.6714], [0.0000, 0.5000, 0.0035]], "ef_ev_per_atom": -0.661, "energy_ev_per_cell": -26.9, "mass_density_g_cm3": 7.930}

# 7
{"formula": "Tb3GaGe", "functional": "PBE-GGA", "state": "relaxed", "lattice_angstrom": [[-2.7242, -0.7456, 2.9584], [5.6142, -5.4284, 0.9704], [3.8689, 5.4453, 4.9287]], "species": ["Tb", "Ga", "Ge", "Tb", "Tb", "Ge", "Tb", "Tb", "Ga", "Tb"], "fractional_positions": [[0.2590, 0.5508, 0.0316], [0.2276, 0.4894, 0.6406], [0.4149, 0.8624, 0.2739], [0.0707, 0.1747, 0.3942], [0.7849, 0.6033, 0.3899], [0.6291, 0.2916, 0.1477], [0.4265, 0.8840, 0.6311], [0.9732, 0.9794, 0.0274], [0.8164, 0.6649, 0.7810], [0.6174, 0.2701, 0.7904]], "ef_ev_per_atom": -0.550, "energy_ev_per_cell": -48.6, "mass_density_g_cm3": 7.980}

# 8
{"formula": "Tb4Ga2Ge5", "functional": "PBE-GGA", "state": "relaxed", "lattice_angstrom": [[-1.8133, 3.6533, 0.9627], [-6.2674, -2.9572, -0.5831], [0.2224, -1.9741, 7.9107]], "species": ["Ge", "Ge", "Ge", "Tb", "Tb", "Ga", "Tb", "Tb", "Ge", "Ge", "Ga"], "fractional_positions": [[0.0000, 0.5000, 0.0000], [0.0000, 0.8809, 0.1209], [0.0000, 0.1191, 0.8791], [0.5000, 0.7644, 0.8711], [0.5000, 0.7511, 0.3800], [0.0000, 0.0908, 0.3723], [0.5000, 0.2489, 0.6200], [0.5000, 0.2356, 0.1289], [0.0000, 0.5503, 0.6577], [0.0000, 0.4497, 0.3423], [0.0000, 0.9092, 0.6277]], "ef_ev_per_atom": -0.720, "energy_ev_per_cell": -55.6, "mass_density_g_cm3": 7.952}